1.
First-principles (PBE) data for a relaxed structure of K3CdRu, as listed in Alexandria.

Unit cell a=6.2076 b=6.2076 c=6.2076 alpha=90.00 beta=90.00 gamma=90.00
Last column: nearest neighbours and their distance in Å.
Space group Pm-3m (No. 221)
Inequivalent atoms, fractional coordinates:
K  0.0000  0.0000  0.5000 [3 per cell]  2 Ru 3.10
Cd  0.5000  0.5000  0.5000 [1 per cell]  12 K 4.39
Ru  0.0000  0.0000  0.0000 [1 per cell]  6 K 3.10

The calculation puts the energy above the most stable polymorph in this dataset at 0.0 meV/atom. The spin magnetization comes out at 0.2318 μB per atom. Its formation energy is 0.891 eV/atom.

***

2.
First-principles (PBE) data for a relaxed structure of TbMg2Au, as listed in Alexandria.

Unit cell a=7.0446 b=7.0446 c=7.0446 alpha=90.00 beta=90.00 gamma=90.00
Last column: nearest neighbours and their distance in Å.
Space group F-43m (No. 216)
Inequivalent atoms, fractional coordinates:
Tb  0.0000  0.0000  0.0000 [4 per cell]  4 Mg 3.05, 4 Au 3.05
Mg  0.0000  0.0000  0.5000 [4 per cell]  4 Au 3.05, 4 Mg 3.05
Mg  0.2500  0.2500  0.7500 [4 per cell]  4 Mg 3.05, 4 Tb 3.05
Au  0.2500  0.2500  0.2500 [4 per cell]  4 Tb 3.05, 4 Mg 3.05

The spin magnetization comes out at 0.0000 μB per atom. Its formation energy is -0.438 eV/atom.

***

3.
First-principles (PBE) data for a relaxed structure of HfCrTe2I, as listed in Alexandria.

Unit cell a=5.2708 b=5.2708 c=5.1999 alpha=90.00 beta=90.00 gamma=90.00
Last column: nearest neighbours and their distance in Å.
Space group P4/mmm (No. 123)
Inequivalent atoms, fractional coordinates:
Hf  0.0000  0.0000  0.0000 [1 per cell]  8 Te 3.70, 4 I 3.73
Cr  0.5000  0.5000  0.5000 [1 per cell]  2 I 2.60, 4 Te 2.64
Te  0.0000  0.5000  0.5000 [2 per cell]  2 Cr 2.64
I  0.5000  0.5000  0.0000 [1 per cell]  2 Cr 2.60

The calculation puts the energy above the most stable polymorph in this dataset at 315.2 meV/atom. The spin magnetization comes out at 0.9082 μB per atom. As for the formation energy (no corrections): 525 meV/atom.